! DyNp2NiS5 | Alexandria | PBE | relaxed; values from VASP
&SYSTEM
  ibrav = 0, nat = 18, ntyp = 4
/
ATOMIC_SPECIES
Dy 162.50 Dy.upf
Np 237.00 Np.upf
Ni 58.69 Ni.upf
S 32.06 S.upf
ATOMIC_POSITIONS crystal
Dy 0.178 0.822 0.500
Dy 0.822 0.178 0.000
Np 0.107 0.893 0.823
Np 0.117 0.883 0.168
Np 0.883 0.117 0.668
Np 0.893 0.107 0.323
Ni 0.448 0.552 0.890
Ni 0.552 0.448 0.390
S 0.012 0.988 0.485
S 0.303 0.697 0.169
S 0.317 0.683 0.828
S 0.345 0.655 0.493
S 0.495 0.505 0.219
S 0.505 0.495 0.719
S 0.655 0.345 0.993
S 0.683 0.317 0.328
S 0.697 0.303 0.669
S 0.988 0.012 0.985
CELL_PARAMETERS angstrom
1.867 -8.166 0.000
1.867 8.166 0.000
0.000 0.000 11.612
! - crystal system = orthorhombic
! - uncorrected energy (eV/atom) = -7.73
! - space group = Cmc2_1 (36)
! - Fermi-level density of states (states/eV per cell) = 32.2